VASP calculation (PBE-GGA) on crystalline Li2Nd3Se4 at its relaxed geometry.

The raw formation energy is -1.4789 eV/atom. The value obtained for the volume is 869 Å³/cell. For the electronic total energy, the calculation gives -5.042 eV per atom. The total magnetization comes out at 0.00 μB/cell.

It has space group C2/c (No. 15), with a = 13.278 Å, b = 10.340 Å, c = 6.349 Å, α = 90.00°, β = 94.14° and γ = 90.00°. The asymmetric unit holds Li at (0.209, 0.126, 0.084), Nd at (0.000, 0.099, 0.750), Nd at (0.114, 0.376, 0.477), Se at (0.107, 0.332, 0.970) and Se at (0.156, 0.092, 0.444).